Entry 1:
An optimized crystal structure of NdHoZn, computed with PBE.

## Properties
Energy of formation ... -0.607 eV/f.u.
ρ ... 7.7 g/cm3
Symmetry ... I4mm

a = 3.629 Å, b = 3.629 Å, c = 12.335 Å
α = 90.00°, β = 90.00°, γ = 90.00°
Fractional coordinates of all 6 atoms:
Nd 0.000 0.000 0.000
Nd 0.500 0.500 0.500
Ho 0.000 0.000 0.288
Ho 0.500 0.500 0.788
Zn 0.000 0.000 0.656
Zn 0.500 0.500 0.156

Entry 2:
An optimized crystal structure of BaCr2Ni, computed with PBE.

## Properties
Energy of formation ... 2.718 eV/f.u.
ρ ... 6.0 g/cm3
Symmetry ... C2/m

a = 8.105 Å, b = 3.452 Å, c = 6.145 Å
α = 90.00°, β = 104.27°, γ = 90.00°
Fractional coordinates of all 8 atoms:
Ba 0.000 0.000 0.000
Ba 0.500 0.500 0.000
Cr 0.209 0.000 0.586
Cr 0.291 0.500 0.414
Cr 0.709 0.500 0.586
Cr 0.791 0.000 0.414
Ni 0.000 0.500 0.500
Ni 0.500 0.000 0.500

What did we get for polymorph energy (0 for the lowest one)? Answer: 0 226 meV per atom, in the order shown.